# 1
Entry from Alexandria: KIrS after structural relaxation (PBE).

Computed properties:
Energy relative to the elements, uncorrected ... -0.677 eV/f.u.
Relative energy among the computed polymorphs ... 0.1429 eV/atom

Cell: 3.825 3.825 16.818 Å, 90.00 90.00 120.00°
Fractional coordinates of all 9 atoms:
K 0.000 0.000 0.323
K 0.333 0.667 0.990
K 0.667 0.333 0.656
Ir 0.000 0.000 0.828
Ir 0.333 0.667 0.494
Ir 0.667 0.333 0.161
S 0.000 0.000 0.128
S 0.333 0.667 0.795
S 0.667 0.333 0.461

# 2
Entry from Alexandria: KTe3O after structural relaxation (PBE).

Computed properties:
Energy relative to the elements, uncorrected ... -1.187 eV/f.u.
Relative energy among the computed polymorphs ... 0.0000 eV/atom

Cell: 4.991 4.991 4.991 Å, 90.00 90.00 90.00°
Fractional coordinates of all 5 atoms:
K 0.500 0.500 0.500
Te 0.000 0.500 0.000
Te 0.000 0.000 0.500
Te 0.500 0.000 0.000
O 0.000 0.000 0.000

# 3
Entry from Alexandria: Co2WSe after structural relaxation (PBE).

Computed properties:
Energy relative to the elements, uncorrected ... 2.766 eV/f.u.

Cell: 5.389 5.389 6.323 Å, 64.78 64.78 90.00°
Fractional coordinates of all 8 atoms:
Co 0.617 0.125 0.250
Co 0.133 0.625 0.250
Co 0.375 0.383 0.750
Co 0.875 0.867 0.750
Se 0.500 0.500 0.000
Se 0.250 0.750 0.500
W 0.000 0.000 0.000
W 0.750 0.250 0.500

# 4
Entry from Alexandria: K4LiAu3 after structural relaxation (PBE).

Computed properties:
Calculated formation energy ... -0.261 eV per atom

Cell: 5.882 9.645 9.645 Å, 84.67 72.25 72.25°
Fractional coordinates of all 16 atoms:
K 0.413 0.310 0.864
K 0.587 0.690 0.136
K 0.723 0.864 0.690
K 0.087 0.136 0.690
K 0.277 0.136 0.310
K 0.913 0.864 0.310
K 0.777 0.310 0.136
K 0.223 0.690 0.864
Au 0.750 0.000 0.000
Au 0.250 0.000 0.000
Au 0.371 0.759 0.500
Au 0.629 0.241 0.500
Au 0.129 0.500 0.241
Au 0.871 0.500 0.759
Li 0.750 0.500 0.500
Li 0.250 0.500 0.500

# 5
Entry from Alexandria: LiCaAsSe2 after structural relaxation (PBE).

Computed properties:
Energy relative to the elements, uncorrected ... -2.422 eV/f.u.
Relative energy among the computed polymorphs ... 0.0000 eV/atom

Cell: 4.988 4.988 4.432 Å, 90.00 90.00 90.00°
Fractional coordinates of all 5 atoms:
As 0.000 0.000 0.500
Ca 0.500 0.500 0.500
Se 0.000 0.500 0.000
Se 0.500 0.000 0.000
Li 0.000 0.000 0.000

# 6
Entry from Alexandria: PuTlInBr6 after structural relaxation (PBE).

Computed properties:
Energy relative to the elements, uncorrected ... -9.702 eV/f.u.

Cell: 7.313 7.313 13.795 Å, 90.00 90.00 90.00°
Fractional coordinates of all 18 atoms:
Pu 0.500 0.500 0.833
Pu 0.000 0.000 0.333
Tl 0.500 0.500 0.499
Tl 0.000 0.000 0.999
In 0.500 0.500 0.166
In 0.000 0.000 0.666
Br 0.179 0.821 0.485
Br 0.821 0.179 0.485
Br 0.321 0.321 0.985
Br 0.679 0.679 0.985
Br 0.190 0.810 0.189
Br 0.810 0.190 0.189
Br 0.310 0.310 0.689
Br 0.690 0.690 0.689
Br 0.769 0.231 0.828
Br 0.231 0.769 0.828
Br 0.731 0.731 0.328
Br 0.269 0.269 0.328

# 7
Entry from Alexandria: Ca2GaAs2 after structural relaxation (PBE).

Computed properties:
Calculated formation energy ... -0.599 eV per atom
Relative energy among the computed polymorphs ... 0.1821 eV/atom

Cell: 8.509 8.509 3.438 Å, 90.00 90.00 90.00°
Fractional coordinates of all 10 atoms:
As 0.165 0.665 0.500
As 0.665 0.835 0.500
As 0.835 0.335 0.500
As 0.335 0.165 0.500
Ca 0.363 0.863 0.000
Ca 0.863 0.637 0.000
Ca 0.637 0.137 0.000
Ca 0.137 0.363 0.000
Ga 0.000 0.000 0.000
Ga 0.500 0.500 0.000

# 8
Entry from Alexandria: Cs2NaTa after structural relaxation (PBE).

Computed properties:
Calculated formation energy ... 1.445 eV per atom

Cell: 6.584 6.584 6.584 Å, 60.00 60.00 60.00°
Fractional coordinates of all 4 atoms:
Cs 0.250 0.250 0.250
Cs 0.750 0.750 0.750
Na 0.000 0.000 0.000
Ta 0.500 0.500 0.500

# 9
Entry from Alexandria: Sc2TiCrAg after structural relaxation (PBE).

Computed properties:
Calculated formation energy ... 0.809 eV per atom

Cell: 4.602 4.975 4.602 Å, 90.00 90.00 90.00°
Fractional coordinates of all 5 atoms:
Sc 0.000 0.000 0.500
Sc 0.500 0.000 0.000
Cr 0.000 0.000 0.000
Ag 0.000 0.500 0.000
Ti 0.500 0.500 0.500

# 10
Entry from Alexandria: Na3GeAu8 after structural relaxation (PBE).

Computed properties:
Calculated formation energy ... -0.204 eV per atom

Cell: 5.651 5.651 9.670 Å, 73.01 73.01 60.00°
Fractional coordinates of all 12 atoms:
Na 0.624 0.624 0.129
Na 0.006 0.006 0.983
Na 0.494 0.494 0.517
Ge 0.144 0.144 0.568
Au 0.560 0.060 0.820
Au 0.059 0.565 0.317
Au 0.560 0.560 0.820
Au 0.059 0.059 0.317
Au 0.809 0.809 0.572
Au 0.311 0.311 0.068
Au 0.060 0.560 0.820
Au 0.565 0.059 0.317

# 11
Entry from Alexandria: La9Fe2I14 after structural relaxation (PBE).

Computed properties:
Energy relative to the elements, uncorrected ... -27.274 eV/f.u.

Cell: 9.429 9.429 12.858 Å, 90.00 90.00 120.00°
Fractional coordinates of all 25 atoms:
La 0.290 0.898 0.333
La 0.102 0.392 0.333
La 0.333 0.667 0.085
La 0.000 0.000 0.000
La 0.392 0.290 0.667
La 0.608 0.710 0.333
La 0.667 0.333 0.915
La 0.898 0.608 0.667
La 0.710 0.102 0.667
Fe 0.333 0.667 0.257
Fe 0.667 0.333 0.743
I 0.054 0.689 0.907
I 0.314 0.913 0.598
I 0.087 0.401 0.598
I 0.000 0.000 0.259
I 0.000 0.000 0.741
I 0.311 0.366 0.907
I 0.634 0.946 0.907
I 0.401 0.314 0.402
I 0.599 0.686 0.598
I 0.366 0.054 0.093
I 0.689 0.634 0.093
I 0.913 0.599 0.402
I 0.686 0.087 0.402
I 0.946 0.311 0.093

# 12
Entry from Alexandria: Th4RePt after structural relaxation (PBE).

Computed properties:
Calculated formation energy ... -0.390 eV per atom

Cell: 6.384 6.952 8.490 Å, 90.00 117.23 90.00°
Fractional coordinates of all 12 atoms:
Th 0.319 0.250 0.398
Th 0.681 0.750 0.602
Th 0.814 0.250 0.889
Th 0.186 0.750 0.111
Th 0.760 0.001 0.257
Th 0.240 0.501 0.743
Th 0.760 0.499 0.257
Th 0.240 0.999 0.743
Re 0.823 0.250 0.560
Re 0.177 0.750 0.440
Pt 0.334 0.250 0.056
Pt 0.666 0.750 0.944

# 13
Entry from Alexandria: La3As4Pd2 after structural relaxation (PBE).

Computed properties:
Calculated formation energy ... -1.111 eV per atom
Relative energy among the computed polymorphs ... 0.0078 eV/atom

Cell: 4.430 6.278 8.826 Å, 111.73 90.00 110.66°
Fractional coordinates of all 9 atoms:
La 0.637 0.274 0.721
La 0.000 0.000 0.000
La 0.363 0.726 0.279
As 0.689 0.378 0.102
As 0.311 0.622 0.898
As 0.925 0.850 0.592
As 0.075 0.150 0.408
Pd 0.679 0.359 0.388
Pd 0.321 0.641 0.612

# 14
Entry from Alexandria: ZrNiHg after structural relaxation (PBE).

Computed properties:
Calculated formation energy ... 0.363 eV per atom
Relative energy among the computed polymorphs ... 0.7002 eV/atom

Cell: 4.534 4.534 4.534 Å, 60.00 60.00 60.00°
Fractional coordinates of all 3 atoms:
Hg 0.000 0.000 0.000
Ni 0.500 0.500 0.500
Zr 0.750 0.750 0.750

# 15
Entry from Alexandria: Er5Bi2Pb2 after structural relaxation (PBE).

Computed properties:
Calculated formation energy ... -0.630 eV per atom
Relative energy among the computed polymorphs ... 0.0000 eV/atom

Cell: 8.265 8.239 8.789 Å, 117.95 90.00 90.00°
Fractional coordinates of all 18 atoms:
Er 0.000 0.000 0.000
Er 0.500 0.500 0.000
Er 0.840 0.794 0.266
Er 0.160 0.472 0.266
Er 0.340 0.972 0.266
Er 0.660 0.294 0.266
Er 0.160 0.206 0.734
Er 0.840 0.528 0.734
Er 0.660 0.028 0.734
Er 0.340 0.706 0.734
Bi 0.000 0.203 0.406
Bi 0.500 0.703 0.406
Bi 0.000 0.797 0.594
Bi 0.500 0.297 0.594
Pb 0.642 0.857 0.000
Pb 0.358 0.143 0.000
Pb 0.142 0.643 0.000
Pb 0.858 0.357 0.000

# 16
Entry from Alexandria: Tb6Pm2Nd3In after structural relaxation (PBE).

Computed properties:
Calculated formation energy ... -0.052 eV per atom

Cell: 6.175 6.175 11.834 Å, 95.01 95.01 120.04°
Fractional coordinates of all 12 atoms:
Tb 0.919 0.592 0.755
Tb 0.755 0.755 0.246
Tb 0.081 0.408 0.245
Tb 0.592 0.919 0.755
Tb 0.245 0.245 0.754
Tb 0.408 0.081 0.245
Pm 0.334 0.666 0.000
Pm 0.666 0.334 0.000
Nd 0.168 0.832 0.500
Nd 0.832 0.168 0.500
Nd 0.500 0.500 0.500
In 0.000 0.000 0.000

Number 1: total magnetic moment 0.00 μB per cell, total DFT energy (no corrections) -4.921 eV per atom. Number 2: total magnetic moment 0.00 μB per cell, total DFT energy (no corrections) -3.334 eV per atom. Number 3: total magnetic moment 0.00 μB per cell, total DFT energy (no corrections) -6.971 eV per atom. Number 4: total magnetic moment 0.00 μB per cell, total DFT energy (no corrections) -2.278 eV per atom. Number 5: total magnetic moment 0.00 μB per cell, total DFT energy (no corrections) -3.591 eV per atom. Number 6: total magnetic moment 7.95 μB per cell, total DFT energy (no corrections) -4.353 eV per atom. Number 7: total magnetic moment 0.00 μB per cell, total DFT energy (no corrections) -3.865 eV per atom. Number 8: total magnetic moment 4.23 μB per cell, total DFT energy (no corrections) -2.275 eV per atom. Number 9: total magnetic moment 0.01 μB per cell, total DFT energy (no corrections) -5.797 eV per atom. Number 10: total magnetic moment 0.00 μB per cell, total DFT energy (no corrections) -3.104 eV per atom. Number 11: total magnetic moment 3.29 μB per cell, total DFT energy (no corrections) -4.410 eV per atom. Number 12: total magnetic moment 0.00 μB per cell, total DFT energy (no corrections) -8.418 eV per atom. Number 13: total magnetic moment 0.00 μB per cell, total DFT energy (no corrections) -5.974 eV per atom. Number 14: total magnetic moment 0.00 μB per cell, total DFT energy (no corrections) -4.514 eV per atom. Number 15: total magnetic moment 0.19 μB per cell, total DFT energy (no corrections) -4.852 eV per atom. Number 16: total magnetic moment 0.00 μB per cell, total DFT energy (no corrections) -4.579 eV per atom.